Below is MnNi2W at its PBEsol-relaxed geometry, with properties calculated at the meta-GGA SCAN level.

Computed properties:
- Space-group type: No. 139
- Calculated total energy: -120.6 eV/f.u.
- ΔE to the lowest computed polymorph: 0 meV per atom

Cell lengths 3.545, 3.545, 4.496 Å; angles 113.22, 113.22, 90.00 degrees
Last column: magnetic moment on the atom in μB.
Sites, in units of the cell vectors:
Mn 0.500 0.500 0.000  2.58
W 0.000 0.000 0.000  -0.52
Ni 0.750 0.250 0.500  0.23
Ni 0.250 0.750 0.500  0.23

Below is YMn2Ni at its PBEsol-relaxed geometry, with properties calculated at the meta-GGA SCAN level.

Computed properties:
- Space-group type: No. 166
- Calculated total energy: -79.5 eV/f.u.

Cell lengths 2.953, 2.953, 8.837 Å; angles 80.38, 80.38, 60.00 degrees
Last column: magnetic moment on the atom in μB.
Sites, in units of the cell vectors:
Mn 0.765 0.765 0.706  3.88
Mn 0.235 0.235 0.294  3.88
Y 0.000 0.000 0.000  -0.34
Ni 0.500 0.500 0.500  0.86

Below is YMnNi4 at its PBEsol-relaxed geometry, with properties calculated at the meta-GGA SCAN level.

Computed properties:
- Space-group type: No. 216
- Calculated total energy: -113.0 eV/f.u.

Cell lengths 4.821, 4.821, 4.821 Å; angles 60.00, 60.00, 60.00 degrees
Last column: magnetic moment on the atom in μB.
Sites, in units of the cell vectors:
Ni 0.626 0.626 0.626  0.45
Ni 0.626 0.626 0.122  0.45
Ni 0.626 0.122 0.626  0.45
Ni 0.122 0.626 0.626  0.45
Mn 0.000 0.000 0.000  4.08
Y 0.250 0.250 0.250  -0.15

Below is YMn2Ni at its PBEsol-relaxed geometry, with properties calculated at the meta-GGA SCAN level.

Computed properties:
- Space-group type: No. 123
- Calculated total energy: -80.6 eV/f.u.

Cell lengths 3.854, 3.854, 4.134 Å; angles 90.00, 90.00, 90.00 degrees
Last column: magnetic moment on the atom in μB.
Sites, in units of the cell vectors:
Mn 0.000 0.500 0.000  3.46
Mn 0.500 0.000 0.000  3.46
Ni 0.500 0.500 0.500  0.18
Y 0.000 0.000 0.500  -0.28

Below is Mn3ZnNi at its PBEsol-relaxed geometry, with properties calculated at the meta-GGA SCAN level.

Computed properties:
- Space-group type: No. 221
- Calculated total energy: -79.9 eV/f.u.

Cell lengths 4.435, 4.435, 4.435 Å; angles 90.00, 90.00, 90.00 degrees
Last column: magnetic moment on the atom in μB.
Sites, in units of the cell vectors:
Ni 0.500 0.500 0.500  0.78
Zn 0.000 0.000 0.000  -0.05
Mn 0.500 0.000 0.000  3.98
Mn 0.000 0.500 0.000  3.98
Mn 0.000 0.000 0.500  3.98

Below is MnZn2Ni at its PBEsol-relaxed geometry, with properties calculated at the meta-GGA SCAN level.

Computed properties:
- Space-group type: No. 47
- Calculated total energy: -62.2 eV/f.u.

Cell lengths 2.671, 3.458, 5.301 Å; angles 90.00, 90.00, 90.00 degrees
Last column: magnetic moment on the atom in μB.
Sites, in units of the cell vectors:
Zn 0.000 0.000 0.260  -0.05
Zn 0.000 0.000 0.740  -0.05
Mn 0.500 0.500 0.000  3.48
Ni 0.500 0.500 0.500  0.17

Below is MnZn2Ni at its PBEsol-relaxed geometry, with properties calculated at the meta-GGA SCAN level.

Computed properties:
- Space-group type: No. 119
- Calculated total energy: -62.3 eV/f.u.

Cell lengths 3.876, 4.257, 3.876 Å; angles 62.92, 90.00, 117.08 degrees
Last column: magnetic moment on the atom in μB.
Sites, in units of the cell vectors:
Mn 0.500 0.000 0.500  3.67
Zn 0.000 0.000 0.000  -0.07
Zn 0.250 0.500 0.250  -0.04
Ni 0.750 0.500 0.750  0.39

Below is MnZn2Ni at its PBEsol-relaxed geometry, with properties calculated at the meta-GGA SCAN level.

Computed properties:
- Space-group type: No. 216
- Calculated total energy: -62.3 eV/f.u.

Cell lengths 4.103, 4.103, 4.103 Å; angles 60.00, 60.00, 60.00 degrees
Last column: magnetic moment on the atom in μB.
Sites, in units of the cell vectors:
Zn 0.000 0.000 0.000  -0.07
Zn 0.750 0.750 0.750  -0.04
Mn 0.500 0.500 0.500  3.67
Ni 0.250 0.250 0.250  0.39

Below is Mn2ZnNi at its PBEsol-relaxed geometry, with properties calculated at the meta-GGA SCAN level.

Computed properties:
- Space-group type: No. 119
- Calculated total energy: -67.4 eV/f.u.

Cell lengths 3.627, 3.627, 4.393 Å; angles 114.38, 114.38, 90.00 degrees
Last column: magnetic moment on the atom in μB.
Sites, in units of the cell vectors:
Zn 0.250 0.750 0.500  0.00
Mn 0.000 0.000 0.000  -3.50
Mn 0.750 0.250 0.500  3.53
Ni 0.500 0.500 0.000  0.10

Below is MnZnNi2 at its PBEsol-relaxed geometry, with properties calculated at the meta-GGA SCAN level.

Computed properties:
- Space-group type: No. 119
- Calculated total energy: -65.1 eV/f.u.

Cell lengths 3.512, 3.512, 4.477 Å; angles 113.09, 113.09, 90.00 degrees
Last column: magnetic moment on the atom in μB.
Sites, in units of the cell vectors:
Zn 0.500 0.500 0.000  -0.07
Ni 0.250 0.750 0.500  0.47
Ni 0.000 0.000 0.000  0.46
Mn 0.750 0.250 0.500  3.67

Below is MnZn2Ni at its PBEsol-relaxed geometry, with properties calculated at the meta-GGA SCAN level.

Computed properties:
- Space-group type: No. 139
- Calculated total energy: -62.4 eV/f.u.

Cell lengths 3.795, 4.334, 3.795 Å; angles 64.04, 90.00, 115.96 degrees
Last column: magnetic moment on the atom in μB.
Sites, in units of the cell vectors:
Zn 0.750 0.500 0.750  -0.07
Zn 0.250 0.500 0.250  -0.07
Ni 0.000 0.000 0.000  0.28
Mn 0.500 0.000 0.500  3.67

Below is MnZnNi2 at its PBEsol-relaxed geometry, with properties calculated at the meta-GGA SCAN level.

Computed properties:
- Space-group type: No. 47
- Calculated total energy: -65.3 eV/f.u.

Cell lengths 2.714, 3.181, 5.345 Å; angles 90.00, 90.00, 90.00 degrees
Last column: magnetic moment on the atom in μB.
Sites, in units of the cell vectors:
Mn 0.500 0.500 0.500  3.65
Ni 0.000 0.000 0.251  0.55
Ni 0.000 0.000 0.749  0.55
Zn 0.500 0.500 0.000  -0.04

Below is MnZn2Ni at its PBEsol-relaxed geometry, with properties calculated at the meta-GGA SCAN level.

Computed properties:
- Space-group type: No. 123
- Calculated total energy: -62.2 eV/f.u.

Cell lengths 2.704, 2.704, 6.632 Å; angles 90.00, 90.00, 90.00 degrees
Last column: magnetic moment on the atom in μB.
Sites, in units of the cell vectors:
Mn 0.500 0.500 0.000  3.36
Zn 0.000 0.000 0.263  -0.05
Zn 0.000 0.000 0.737  -0.05
Ni 0.500 0.500 0.500  -0.04

Below is Mn2ZnNi at its PBEsol-relaxed geometry, with properties calculated at the meta-GGA SCAN level.

Computed properties:
- Space-group type: No. 216
- Calculated total energy: -67.1 eV/f.u.

Cell lengths 4.023, 4.023, 4.023 Å; angles 60.00, 60.00, 60.00 degrees
Last column: magnetic moment on the atom in μB.
Sites, in units of the cell vectors:
Ni 0.500 0.500 0.500  0.46
Mn 0.750 0.750 0.750  3.56
Mn 0.000 0.000 0.000  -3.25
Zn 0.250 0.250 0.250  0.00

Below is MnZnNi2 at its PBEsol-relaxed geometry, with properties calculated at the meta-GGA SCAN level.

Computed properties:
- Space-group type: No. 123
- Calculated total energy: -65.3 eV/f.u.

Cell lengths 3.285, 3.755, 3.755 Å; angles 89.98, 90.00, 90.00 degrees
Last column: magnetic moment on the atom in μB.
Sites, in units of the cell vectors:
Zn 0.500 0.000 0.000  -0.06
Ni 0.000 0.500 0.000  0.62
Ni 0.000 0.000 0.500  0.62
Mn 0.500 0.500 0.500  3.75

Below is MnZnNi2 at its PBEsol-relaxed geometry, with properties calculated at the meta-GGA SCAN level.

Computed properties:
- Space-group type: No. 8
- Calculated total energy: -64.9 eV/f.u.

Cell lengths 2.685, 4.155, 4.492 Å; angles 105.03, 107.39, 90.00 degrees
Last column: magnetic moment on the atom in μB.
Sites, in units of the cell vectors:
Mn 0.255 0.781 0.510  3.62
Ni 0.748 0.272 0.496  0.54
Ni 0.002 0.977 0.004  0.43
Zn 0.495 0.471 0.990  -0.07

Below is ZrMn2Ni at its PBEsol-relaxed geometry, with properties calculated at the meta-GGA SCAN level.

Computed properties:
- Space-group type: No. 160
- Calculated total energy: -82.9 eV/f.u.

Cell lengths 2.779, 2.779, 8.489 Å; angles 80.58, 80.58, 60.00 degrees
Last column: magnetic moment on the atom in μB.
Sites, in units of the cell vectors:
Mn 0.251 0.251 0.248  3.24
Mn 0.989 0.989 0.034  -3.27
Zr 0.752 0.752 0.745  -0.01
Ni 0.509 0.509 0.473  0.52

Below is Zr2MnNi at its PBEsol-relaxed geometry, with properties calculated at the meta-GGA SCAN level.

Computed properties:
- Space-group type: No. 44
- Calculated total energy: -96.5 eV/f.u.

Cell lengths 3.140, 4.179, 5.624 Å; angles 111.81, 106.21, 90.00 degrees
Last column: magnetic moment on the atom in μB.
Sites, in units of the cell vectors:
Zr 0.764 0.264 0.527  -0.03
Zr 0.988 0.988 0.976  -0.45
Mn 0.530 0.530 0.060  3.11
Ni 0.218 0.718 0.436  0.26

Below is ZrMn2Ni at its PBEsol-relaxed geometry, with properties calculated at the meta-GGA SCAN level.

Computed properties:
- Space-group type: No. 71
- Calculated total energy: -84.0 eV/f.u.

Cell lengths 3.477, 3.917, 4.857 Å; angles 113.78, 110.97, 90.00 degrees
Last column: magnetic moment on the atom in μB.
Sites, in units of the cell vectors:
Ni 0.000 0.500 0.000  0.42
Mn 0.741 0.741 0.481  3.34
Mn 0.259 0.259 0.519  3.34
Zr 0.500 0.000 0.000  -0.42

Below is Zr2MnNi at its PBEsol-relaxed geometry, with properties calculated at the meta-GGA SCAN level.

Computed properties:
- Space-group type: No. 123
- Calculated total energy: -96.9 eV/f.u.

Cell lengths 3.165, 3.165, 6.258 Å; angles 90.00, 90.00, 90.00 degrees
Sites, in units of the cell vectors:
Mn 0.500 0.500 0.000
Zr 0.000 0.000 0.756
Zr 0.000 0.000 0.244
Ni 0.500 0.500 0.500

Number 1: energy of formation -1.51 kcal/mol of atoms, D(E_F) 0.487 states/eV/atom. Number 2: energy of formation 6.08 kcal/mol of atoms, D(E_F) 0.814 states/eV/atom. Number 3: energy of formation -8.61 kcal/mol of atoms, D(E_F) 0.738 states/eV/atom. Number 4: energy of formation -0.35 kcal/mol of atoms, D(E_F) 0.737 states/eV/atom. Number 5: energy of formation 21.17 kcal/mol of atoms, D(E_F) 1.038 states/eV/atom. Number 6: energy of formation -4.55 kcal/mol of atoms, D(E_F) 0.422 states/eV/atom. Number 7: energy of formation -4.86 kcal/mol of atoms, D(E_F) 0.389 states/eV/atom. Number 8: energy of formation -4.77 kcal/mol of atoms, D(E_F) 0.485 states/eV/atom. Number 9: energy of formation -7.11 kcal/mol of atoms, D(E_F) 0.332 states/eV/atom. Number 10: energy of formation -5.86 kcal/mol of atoms, D(E_F) 0.412 states/eV/atom. Number 11: energy of formation -5.70 kcal/mol of atoms, D(E_F) 0.376 states/eV/atom. Number 12: energy of formation -6.82 kcal/mol of atoms, D(E_F) 0.373 states/eV/atom. Number 13: energy of formation -4.05 kcal/mol of atoms, D(E_F) 0.640 states/eV/atom. Number 14: energy of formation -5.47 kcal/mol of atoms, D(E_F) 0.759 states/eV/atom. Number 15: energy of formation -7.08 kcal/mol of atoms, D(E_F) 0.278 states/eV/atom. Number 16: energy of formation -4.68 kcal/mol of atoms, D(E_F) 0.595 states/eV/atom. Number 17: energy of formation 2.86 kcal/mol of atoms, D(E_F) 0.954 states/eV/atom. Number 18: energy of formation -3.99 kcal/mol of atoms, D(E_F) 0.780 states/eV/atom. Number 19: energy of formation -3.47 kcal/mol of atoms, D(E_F) 0.964 states/eV/atom. Number 20: energy of formation -6.39 kcal/mol of atoms, D(E_F) 0.653 states/eV/atom.